First-principles (GGA-PBE) data for a relaxed structure of Y3Al19Ni5, as listed in OQMD.

Unit cell a=4.0710 b=15.9596 c=27.1057 alpha=90.00 beta=90.00 gamma=90.00
Space group Cmcm (No. 63)
Asymmetric unit:
Y  0.0000  0.1124  0.2500 [4 per cell]
Y  0.0000  0.3332  0.1354 [8 per cell]
Al  0.0000  0.0367  0.6013 [8 per cell]
Al  0.0000  0.0792  0.7019 [8 per cell]
Al  0.0000  0.0941  0.0371 [8 per cell]
Al  0.0000  0.1301  0.1353 [8 per cell]
Al  0.0000  0.2653  0.0288 [8 per cell]
Al  0.0000  0.2759  0.6937 [8 per cell]
Al  0.0000  0.2910  0.5887 [8 per cell]
Al  0.0000  0.3064  0.2500 [4 per cell]
Al  0.0000  0.4331  0.0318 [8 per cell]
Al  0.0000  0.4640  0.6747 [8 per cell]
Ni  0.0000  0.1587  0.5422 [8 per cell]
Ni  0.0000  0.4460  0.5852 [8 per cell]
Ni  0.0000  0.4547  0.2500 [4 per cell]

Values from the calculation:
Spin magnetization, μB/cell: 0.00
DFT total energy, eV for the cell shown: -528.5